#one
A plane-wave DFT calculation with PBE was carried out for a relaxed SrMnBr2 crystal.

Calculated values
total magnetization: 5.0 Bohr magnetons per cell
D(E_F): 0.32 states/eV/atom

Structure (POSCAR):
```
SrMnBr2
1.0
-0.705 2.908 2.694
-2.679 -2.359 1.845
5.291 -2.671 4.268
Br Mn Sr
2 1 1
Direct
0.000 0.000 0.981
0.000 0.000 0.519
0.500 0.500 0.250
0.500 0.500 0.750
```

=====

#two
A plane-wave DFT calculation with PBE was carried out for a relaxed SrMnBr2 crystal.

Calculated values
total magnetization: 5.0 Bohr magnetons per cell
D(E_F): 0.36 states/eV/atom

Structure (POSCAR):
```
SrMnBr2
1.0
-1.797 -10.854 -0.437
0.802 -10.269 -3.892
2.532 -10.715 0.089
Br Mn Sr
2 1 1
Direct
0.030 0.030 0.030
0.470 0.470 0.470
0.250 0.250 0.250
0.750 0.750 0.750
```

=====

#three
A plane-wave DFT calculation with PBE was carried out for a relaxed SrMnBr2 crystal.

Calculated values
total magnetization: 5.0 Bohr magnetons per cell
D(E_F): 1.02 states/eV/atom

Structure (POSCAR):
```
SrMnBr2
1.0
-3.802 -3.694 -1.090
-3.162 -1.880 3.969
-5.232 1.371 0.170
Sr Mn Br
1 1 2
Direct
0.500 0.500 0.500
0.000 0.000 0.000
0.250 0.250 0.250
0.750 0.750 0.750
```

=====

#four
A plane-wave DFT calculation with PBE was carried out for a relaxed SrMnBr2 crystal.

Calculated values
total magnetization: 5.0 Bohr magnetons per cell
D(E_F): 0.42 states/eV/atom

Structure (POSCAR):
```
SrMnBr2
1.0
4.082 0.000 0.000
0.000 5.048 -0.335
0.000 3.355 5.793
Br Mn Sr
2 1 1
Direct
0.000 0.996 0.950
0.500 0.276 0.345
0.000 0.617 0.396
0.500 0.611 0.809
```

=====

Relative energies, unit meV/atom: #one 134; #two 19; #three 103; #four 0

=====

#one
A plane-wave DFT calculation with PBE was carried out for a relaxed SrMnBr2 crystal.

Calculated values
total magnetization: 4.8 Bohr magnetons per cell
D(E_F): 0.20 states/eV/atom

Structure (POSCAR):
```
SrMnBr2
1.0
-4.933 0.805 4.570
0.280 -2.167 6.410
3.581 3.422 -4.618
Br Mn Sr
2 1 1
Direct
0.000 0.000 0.000
0.250 0.750 0.500
0.500 0.500 0.000
0.750 0.250 0.500
```

=====

#two
A plane-wave DFT calculation with PBE was carried out for a relaxed SrMnBr2 crystal.

Calculated values
total magnetization: 5.0 Bohr magnetons per cell
D(E_F): 0.20 states/eV/atom

Structure (POSCAR):
```
SrMnBr2
1.0
5.725 0.027 0.032
0.968 5.643 -0.032
-2.824 -3.452 3.590
Br Mn Sr
2 1 1
Direct
0.021 0.021 0.000
0.479 0.479 0.000
0.250 0.750 0.500
0.750 0.250 0.500
```

=====

#three
A plane-wave DFT calculation with PBE was carried out for a relaxed SrMnBr2 crystal.

Calculated values
total magnetization: 5.0 Bohr magnetons per cell
D(E_F): 0.26 states/eV/atom

Structure (POSCAR):
```
SrMnBr2
1.0
-4.119 -1.789 -2.707
-0.397 -1.875 -4.881
0.479 -6.421 1.074
Br Mn Sr
2 1 1
Direct
0.964 0.964 0.030
0.536 0.536 0.470
0.750 0.750 0.750
0.250 0.250 0.250
```

=====

#four
A plane-wave DFT calculation with PBE was carried out for a relaxed SrMnBr2 crystal.

Calculated values
total magnetization: 5.0 Bohr magnetons per cell
D(E_F): 0.88 states/eV/atom

Structure (POSCAR):
```
SrMnBr2
1.0
5.544 0.000 0.000
2.772 4.802 0.000
2.772 1.601 4.527
Br Mn Sr
2 1 1
Direct
0.000 0.000 0.000
0.250 0.250 0.250
0.500 0.500 0.500
0.750 0.750 0.750
```

=====

Relative energies, unit meV/atom: #one 65; #two 29; #three 0; #four 335

=====

#one
A plane-wave DFT calculation with PBE was carried out for a relaxed TaMnBr2 crystal.

Calculated values
total magnetization: 3.0 Bohr magnetons per cell
D(E_F): 0.97 states/eV/atom

Structure (POSCAR):
```
TaMnBr2
1.0
3.379 0.000 0.000
0.000 3.382 0.000
0.000 0.000 6.367
Br Mn Ta
2 1 1
Direct
0.000 0.000 0.994
0.000 0.000 0.506
0.500 0.500 0.250
0.500 0.500 0.750
```

=====

#two
A plane-wave DFT calculation with PBE was carried out for a relaxed TaMnBr2 crystal.

Calculated values
total magnetization: 1.6 Bohr magnetons per cell
D(E_F): 0.80 states/eV/atom

Structure (POSCAR):
```
TaMnBr2
1.0
-4.303 1.277 3.898
-1.642 -3.575 4.457
4.840 2.365 -2.515
Br Mn Ta
2 1 1
Direct
0.000 0.000 0.000
0.250 0.750 0.500
0.500 0.500 0.000
0.750 0.250 0.500
```

=====

Relative energies, unit meV/atom: #one 0; #two 115

=====

#one
A plane-wave DFT calculation with PBE was carried out for a relaxed TaMnBr2 crystal.

Calculated values
total magnetization: 2.0 Bohr magnetons per cell
D(E_F): 0.67 states/eV/atom

Structure (POSCAR):
```
TaMnBr2
1.0
9.386 -0.001 -0.001
8.766 3.356 -0.001
8.766 1.620 2.939
Br Mn Ta
2 1 1
Direct
0.026 0.026 0.026
0.220 0.220 0.220
0.491 0.491 0.491
0.763 0.763 0.763
```

=====

#two
A plane-wave DFT calculation with PBE was carried out for a relaxed TaMnBr2 crystal.

Calculated values
total magnetization: 0.0 Bohr magnetons per cell
D(E_F): 1.34 states/eV/atom

Structure (POSCAR):
```
TaMnBr2
1.0
5.816 0.000 0.000
0.000 5.816 0.000
2.908 2.908 5.077
Mn Br Ta
2 4 2
Direct
0.500 0.500 0.000
0.250 0.750 0.500
0.589 0.125 0.250
0.161 0.625 0.250
0.375 0.411 0.750
0.875 0.839 0.750
0.000 0.000 0.000
0.750 0.250 0.500
```

=====

#three
A plane-wave DFT calculation with PBE was carried out for a relaxed TaMnBr2 crystal.

Calculated values
total magnetization: 2.1 Bohr magnetons per cell
D(E_F): 0.27 states/eV/atom

Structure (POSCAR):
```
TaMnBr2
1.0
-2.751 1.089 1.407
-1.871 -2.301 -1.878
0.000 -6.774 5.241
Br Mn Ta
2 1 1
Direct
0.000 0.850 0.926
0.500 0.158 0.359
0.000 0.524 0.536
0.500 0.968 0.679
```

=====

#four
A plane-wave DFT calculation with PBE was carried out for a relaxed TaMnBr2 crystal.

Calculated values
total magnetization: 4.4 Bohr magnetons per cell
D(E_F): 0.47 states/eV/atom

Structure (POSCAR):
```
TaMnBr2
1.0
4.540 0.000 0.000
0.000 3.221 -0.003
0.000 -0.398 5.670
Br Mn Ta
2 1 1
Direct
0.000 0.939 0.994
0.000 0.561 0.506
0.500 0.250 0.250
0.500 0.750 0.750
```

=====

Relative energies, unit meV/atom: #one 27; #two 1286; #three 0; #four 644

=====

#one
A plane-wave DFT calculation with PBE was carried out for a relaxed TaMnBr2 crystal.

Calculated values
total magnetization: 3.5 Bohr magnetons per cell
D(E_F): 0.74 states/eV/atom

Structure (POSCAR):
```
TaMnBr2
1.0
-3.642 2.435 2.212
0.425 -1.647 4.603
3.568 1.943 -2.752
Br Mn Ta
2 1 1
Direct
0.000 0.000 0.000
0.500 0.500 0.000
0.250 0.750 0.500
0.750 0.250 0.500
```

=====

#two
A plane-wave DFT calculation with PBE was carried out for a relaxed TaMnBr2 crystal.

Calculated values
total magnetization: 0.0 Bohr magnetons per cell
D(E_F): 1.29 states/eV/atom

Structure (POSCAR):
```
TaMnBr2
1.0
3.726 -2.338 -0.991
2.939 -1.045 3.256
0.413 -4.273 1.378
Mn Br Ta
1 2 1
Direct
0.000 0.000 0.000
0.250 0.250 0.250
0.750 0.750 0.750
0.500 0.500 0.500
```

=====

#three
A plane-wave DFT calculation with PBE was carried out for a relaxed TaMnBr2 crystal.

Calculated values
total magnetization: 3.6 Bohr magnetons per cell
D(E_F): 0.80 states/eV/atom

Structure (POSCAR):
```
TaMnBr2
1.0
3.107 0.000 0.000
0.000 5.873 0.000
0.000 0.000 4.506
Br Mn Ta
2 1 1
Direct
0.000 0.000 0.000
0.500 0.500 0.000
0.500 0.000 0.500
0.000 0.500 0.500
```

=====

#four
A plane-wave DFT calculation with PBE was carried out for a relaxed TaMnBr2 crystal.

Calculated values
total magnetization: 3.0 Bohr magnetons per cell
D(E_F): 0.80 states/eV/atom

Structure (POSCAR):
```
TaMnBr2
1.0
-1.203 -6.736 4.511
-1.662 -7.998 -0.664
4.026 7.002 -1.389
Br Mn Ta
2 1 1
Direct
0.888 0.888 0.000
0.612 0.612 0.000
0.250 0.750 0.500
0.750 0.250 0.500
```

=====

Relative energies, unit meV/atom: #one 707; #two 987; #three 586; #four 0

=====

#one
A plane-wave DFT calculation with PBE was carried out for a relaxed TaMnBr2 crystal.

Calculated values
total magnetization: 3.0 Bohr magnetons per cell
D(E_F): 0.62 states/eV/atom

Structure (POSCAR):
```
TaMnBr2
1.0
6.856 0.004 -0.005
4.432 5.231 0.005
-5.152 -3.679 2.633
Br Mn Ta
2 1 1
Direct
0.937 0.937 0.000
0.230 0.730 0.500
0.580 0.580 0.000
0.753 0.253 0.500
```

=====

#two
A plane-wave DFT calculation with PBE was carried out for a relaxed TaMnBr2 crystal.

Calculated values
total magnetization: 3.7 Bohr magnetons per cell
D(E_F): 0.88 states/eV/atom

Structure (POSCAR):
```
TaMnBr2
1.0
-2.259 1.960 3.880
3.857 -1.948 2.308
1.613 2.694 -0.422
Br Mn Ta
2 1 1
Direct
0.000 0.000 0.000
0.500 0.500 0.000
0.500 0.000 0.500
0.000 0.500 0.500
```

=====

#three
A plane-wave DFT calculation with PBE was carried out for a relaxed TaMnBr2 crystal.

Calculated values
total magnetization: 4.6 Bohr magnetons per cell
D(E_F): 0.80 states/eV/atom

Structure (POSCAR):
```
TaMnBr2
1.0
3.143 0.000 0.000
0.000 3.143 0.000
0.000 0.000 9.737
Br Mn Ta
2 1 1
Direct
0.000 0.000 0.921
0.000 0.000 0.579
0.500 0.500 0.250
0.500 0.500 0.750
```

=====

#four
A plane-wave DFT calculation with PBE was carried out for a relaxed TaMnBr2 crystal.

Calculated values
total magnetization: 3.5 Bohr magnetons per cell
D(E_F): 0.60 states/eV/atom

Structure (POSCAR):
```
TaMnBr2
1.0
-4.845 -2.226 1.814
0.937 -2.536 -4.941
0.296 -3.192 0.400
Br Mn Ta
2 1 1
Direct
0.000 0.000 0.000
0.500 0.500 0.000
0.500 0.000 0.500
0.000 0.500 0.500
```

=====

Relative energies, unit meV/atom: #one 0; #two 377; #three 215; #four 187